Entry from Alexandria via LeMat-Bulk: a relaxed Li4MnPt crystal (GGA-PBE).

Cell: 4.8427 4.8427 4.8427 Å, 60.00 60.00 60.00°
Last column: nearest neighbours and their distance in Å.
Element x y z (fractional)
1 Li 0.3734 0.3734 0.8797  6 Li 2.39-2.45
2 Li 0.3734 0.8797 0.3734  6 Li 2.39-2.45
3 Li 0.3734 0.3734 0.3734  6 Li 2.39-2.45
4 Li 0.8797 0.3734 0.3734  6 Li 2.39-2.45
5 Pt 0.0000 0.0000 0.0000  12 Li 2.84, 4 Mn 2.97
6 Mn 0.7500 0.7500 0.7500  12 Li 2.84, 4 Pt 2.97

Results
Size of the total moment   3.81 μB/cell
Calculated total energy   -3.84 eV per atom
ρ   5.74 g cm⁻³
Calculated formation energy   -0.7 kcal/mol of atoms
Symmetry   F-43m

---

Entry from Alexandria via LeMat-Bulk: a relaxed YHoSb crystal (GGA-PBE).

Cell: 4.4675 4.4675 8.4602 Å, 90.00 90.00 90.00°
Last column: nearest neighbours and their distance in Å.
Element x y z (fractional)
1 Y 0.2499 0.7501 0.3511  5 Sb 3.13-3.22
2 Y 0.7501 0.2499 0.6489  5 Sb 3.13-3.22
3 Sb 0.7499 0.2501 0.2791  5 Y 3.13-3.22, 4 Ho 3.25
4 Sb 0.2501 0.7499 0.7209  5 Y 3.13-3.22, 4 Ho 3.25
5 Ho 0.2500 0.2500 0.0000  4 Ho 3.16, 4 Sb 3.25
6 Ho 0.7500 0.7500 0.0000  4 Ho 3.16, 4 Sb 3.25

Results
Formation energy without anion corrections   -821 meV per atom
Size of the total moment   0.00 μB/cell
Calculated total energy   -5.88 eV per atom
ρ   7.39 g cm⁻³
Symmetry   P4/nmm

---

Entry from Alexandria via LeMat-Bulk: a relaxed Sc2TaTe crystal (GGA-PBE).

Cell: 4.9222 4.9222 4.9222 Å, 60.00 60.00 60.00°
Last column: nearest neighbours and their distance in Å.
Element x y z (fractional)
1 Sc 0.2500 0.2500 0.2500  4 Ta 3.01, 4 Sc 3.01
2 Sc 0.0000 0.0000 0.0000  4 Te 3.01, 4 Sc 3.01
3 Ta 0.5000 0.5000 0.5000  4 Sc 3.01, 4 Te 3.01
4 Te 0.7500 0.7500 0.7500  4 Sc 3.01, 4 Ta 3.01

Results
Formation energy without anion corrections   124 meV per atom
Size of the total moment   2.03 μB/cell
Calculated total energy   -6.79 eV per atom
ρ   7.85 g cm⁻³
Symmetry   F-43m
Excess energy over the best structure of this formula in the dataset   1.81 eV/f.u.